Material: Tc2Au
Method: DFT, PBE-GGA
State: relaxed

Summary:
uncorrected energy: -89.306 eV/cell
E_form: 54.12 kJ/mol of atoms
distance to the lowest polymorph of the same formula: 433 meV/atom
DOS at the Fermi energy: 0.853 states/eV/atom

Lattice parameters (Å, degrees): 6.1870 6.1870 5.3250 90.00 90.00 90.00
Space group I4/mcm (No. 140)
Symmetry-distinct sites (fractional):
Tc (0.1241, 0.3759, 0.0000)
Au (0.0000, 0.0000, 0.2500)

=====

Material: ScRuPt2
Method: DFT, PBE-GGA
State: relaxed

Summary:
uncorrected energy: -60.453 eV/cell
E_form: -61.21 kJ/mol of atoms
DOS at the Fermi energy: 1.000 states/eV/atom

Lattice parameters (Å, degrees): 5.5623 7.8841 2.8817 90.00 90.00 90.00
Space group Cmmm (No. 65)
Symmetry-distinct sites (fractional):
Sc (0.0000, 0.0000, 0.0000)
Ru (0.0000, 0.5000, 0.0000)
Pt (0.2500, 0.2500, 0.5000)

=====

Material: NiRu2AuBr
Method: DFT, PBE-GGA
State: relaxed

Summary:
raw formation energy: 2.147 eV/atom
uncorrected energy: -18.550 eV/cell
DOS at the Fermi energy: 1.717 states/eV/atom

Lattice parameters (Å, degrees): 5.0535 5.0535 5.0263 90.00 90.00 90.00
Space group P4/mmm (No. 123)
Symmetry-distinct sites (fractional):
Ni (0.0000, 0.0000, 0.0000)
Ru (0.0000, 0.5000, 0.5000)
Au (0.5000, 0.5000, 0.5000)
Br (0.5000, 0.5000, 0.0000)